This record from Alexandria describes a crystal of K3Tl relaxed with PBEsol. The functional is meta-GGA SCAN.

Cell and atoms, written as POSCAR:
```
K3Tl
1.0
6.7983 -6.6737 0.0000
6.7983 6.6737 0.0000
0.0000 0.0000 4.5352
K Tl
6 2
direct
0.1631 0.8369 0.7500
0.1716 0.4173 0.7500
0.4173 0.1716 0.2500
0.5827 0.8284 0.7500
0.8284 0.5827 0.2500
0.8369 0.1631 0.2500
0.4166 0.5834 0.2500
0.5834 0.4166 0.7500
```

* total magnetic moment: 0.01 μB per atom
* energy of formation from the pure elements: -0.064 eV per atom
* ρ: 2.60 g/cm³